A relaxed structure of SmTm2ThSe4. Source: Alexandria via LeMat-Bulk, functional PBE.

Geometry as POSCAR:
```
SmTm2ThSe4
1.0
4.028 0.000 0.000
0.000 7.292 -0.250
0.000 2.462 6.573
Se Th Tm Sm
4 1 2 1
direct
0.500 0.769 0.242
0.500 0.231 0.758
0.000 0.767 0.746
0.000 0.233 0.254
0.000 0.500 0.500
0.500 0.000 0.500
0.000 0.000 0.000
0.500 0.500 0.000
```

Output
As for the space group: No. 10. The calculation puts the total magnetization at 0.0 μB/f.u. Its crystal system is monoclinic. For the density of states at the Fermi level, the calculation gives 0.53 states/eV per atom. As for the uncorrected formation energy: -1664 meV per atom.